An optimized crystal structure of Dy6NiHg2, computed with PBE-GGA.

Cell and atoms, written as POSCAR:
```
Dy6NiHg2
1.0
-6.846 -4.656 -2.226
1.736 -0.700 8.366
-6.967 2.774 4.155
Dy Ni Hg
12 2 4
direct
0.170 0.750 0.080
0.830 0.250 0.920
0.170 0.250 0.581
0.830 0.750 0.419
0.451 0.268 0.818
0.549 0.732 0.182
0.086 0.268 0.182
0.914 0.732 0.818
0.330 0.062 0.268
0.670 0.938 0.732
0.330 0.599 0.732
0.670 0.401 0.268
0.500 0.500 0.000
0.000 0.000 0.000
0.146 0.646 0.500
0.854 0.354 0.500
0.350 0.000 0.650
0.650 0.000 0.350
```

Results
**Calculated formation energy**: -20.6 kJ per mole of atoms
**Calculated volume**: 26.886 Å³/atom
**Symmetry**: No. 71
**N(E_F)**: 8.3 states/eV/f.u.
**E above lowest polymorph**: 35 meV per atom